First-principles (GGA-PBE) data for a relaxed K2NaBi2 crystal, as listed in Alexandria via LeMat-Bulk.

```
10
Lattice="10.5794 0.0000 0.0000 0.0000 10.5794 0.0000 0.0000 0.0000 3.4496" Properties=species:S:1:pos:R:3 pbc="T T T"
Na 5.2897 5.2897 0.0000
Bi 3.3842 1.9055 1.7248
K 9.3286 6.5405 0.0000
K 6.5405 1.2508 0.0000
Bi 1.9055 7.1953 1.7248
K 4.0389 9.3286 0.0000
Na 0.0000 0.0000 0.0000
Bi 8.6739 3.3842 1.7248
K 1.2508 4.0389 0.0000
Bi 7.1953 8.6739 1.7248
```

Results
The electronic total energy comes out at -2.416 eV per atom. The space-group type is P4/mbm, No. 127. The value obtained for the formation enthalpy at 0 K is -161 meV per atom. The calculation puts the energy above the lowest structure with this stoichiometry at 154.4 meV per atom.